Record 1
VASP calculation (GGA-PBE) on a geometry-optimized YPu2Zr structure.

Calculated values
- size of the total moment (μB/atom) = 2.84
- space group = P4/mmm (123)
- ΔH_f (0 K) (eV/atom) = 0.21

a = 4.8313 Å, b = 4.6654 Å, c = 4.6654 Å
α = 90.00°, β = 90.00°, γ = 90.00°
With the nearest neighbours (Å) after each atom.
Fractional coordinates of all 4 atoms:
Y (0.5000, 0.5000, 0.5000)  4 Zr 3.30, 8 Pu 3.36
Zr (0.5000, 0.0000, 0.0000)  4 Y 3.30, 8 Pu 3.36
Pu (0.0000, 0.0000, 0.5000)  4 Pu 3.30, 4 Zr 3.36, 4 Y 3.36
Pu (0.0000, 0.5000, 0.0000)  4 Pu 3.30, 4 Y 3.36, 4 Zr 3.36

=====

Record 2
VASP calculation (GGA-PBE) on a geometry-optimized MgSi2Ru structure.

Calculated values
- raw total energy (eV/atom) = -5.49
- size of the total moment (μB/atom) = 0.00
- space group = Immm (71)

a = 5.0075 Å, b = 5.0075 Å, c = 5.0075 Å
α = 144.05°, β = 122.93°, γ = 69.32°
With the nearest neighbours (Å) after each atom.
Fractional coordinates of all 4 atoms:
Mg (0.2500, 0.7500, 0.5000)  4 Si 2.71, 4 Ru 2.85
Ru (0.7500, 0.2500, 0.5000)  4 Si 2.45
Si (0.9800, 0.9800, 0.0000)  2 Ru 2.45, 2 Mg 2.71
Si (0.5200, 0.5200, 0.0000)  2 Ru 2.45, 2 Mg 2.71

=====

Record 3
VASP calculation (GGA-PBE) on a geometry-optimized MgPtRh structure.

Calculated values
- size of the total moment (μB/atom) = 0.23
- space group = P3m1 (156)
- distance to the lowest polymorph of the same formula (meV/atom) = 110
- ΔH_f (0 K) (eV/atom) = -0.28

a = 4.4116 Å, b = 4.4116 Å, c = 2.7646 Å
α = 90.00°, β = 90.00°, γ = 120.00°
With the nearest neighbours (Å) after each atom.
Fractional coordinates of all 3 atoms:
Mg (0.0000, 0.0000, 0.9994)  3 Rh 2.66, 3 Pt 2.66, 2 Mg 2.76
Pt (0.3333, 0.6667, 0.2792)  3 Mg 2.66, 2 Pt 2.76, 6 Rh 2.83-2.98
Rh (0.6667, 0.3333, 0.7214)  3 Mg 2.66, 2 Rh 2.76, 6 Pt 2.83-2.98

=====

Record 4
VASP calculation (GGA-PBE) on a geometry-optimized TbPrTm4 structure.

Calculated values
- size of the total moment (μB/atom) = 0.00
- space group = P2/m (10)
- distance to the lowest polymorph of the same formula (meV/atom) = 0
- ΔH_f (0 K) (eV/atom) = 0.02

a = 3.5422 Å, b = 12.7264 Å, c = 13.6673 Å
α = 158.61°, β = 59.06°, γ = 123.53°
With the nearest neighbours (Å) after each atom.
Fractional coordinates of all 6 atoms:
Tb (0.0000, 0.0000, 0.0000)  10 Tm 3.49-3.53, 2 Tb 3.54
Pr (0.5000, 0.0000, 0.5000)  2 Pr 3.54, 10 Tm 3.55-3.56
Tm (0.8306, 0.6651, 0.5000)  7 Tm 3.50-3.54, 4 Tb 3.52-3.53, 1 Pr 3.55
Tm (0.1694, 0.3349, 0.5000)  7 Tm 3.50-3.54, 4 Tb 3.52-3.53, 1 Pr 3.55
Tm (0.3421, 0.6710, 0.0001)  1 Tb 3.49, 7 Tm 3.51-3.63, 4 Pr 3.55-3.56
Tm (0.6579, 0.3290, 0.9999)  1 Tb 3.49, 7 Tm 3.51-3.63, 4 Pr 3.55-3.56

=====

Record 5
VASP calculation (GGA-PBE) on a geometry-optimized Na2UO3 structure.

Calculated values
- raw total energy (eV/atom) = -7.07
- size of the total moment (μB/atom) = 0.33
- space group = R-3c (167)

a = 5.7462 Å, b = 5.7462 Å, c = 6.5734 Å
α = 64.08°, β = 64.08°, γ = 60.00°
With the nearest neighbours (Å) after each atom.
Fractional coordinates of all 12 atoms:
Na (0.1774, 0.1774, 0.4678)  6 O 2.42-2.48, 1 Na 2.47
Na (0.3226, 0.3226, 0.0322)  6 O 2.42-2.48, 1 Na 2.47
Na (0.8226, 0.8226, 0.5322)  6 O 2.42-2.48, 1 Na 2.47
Na (0.6774, 0.6774, 0.9678)  6 O 2.42-2.48, 1 Na 2.47
U (0.5000, 0.5000, 0.5000)  6 O 2.30
U (0.0000, 0.0000, 0.0000)  6 O 2.30
O (0.8754, 0.6246, 0.2500)  2 U 2.30, 4 Na 2.42-2.48
O (0.2500, 0.8754, 0.2500)  2 U 2.30, 4 Na 2.42-2.48
O (0.7500, 0.1246, 0.7500)  2 U 2.30, 4 Na 2.42-2.48
O (0.3754, 0.7500, 0.7500)  2 U 2.30, 4 Na 2.42-2.48
O (0.1246, 0.3754, 0.7500)  2 U 2.30, 4 Na 2.42-2.48
O (0.6246, 0.2500, 0.2500)  2 U 2.30, 4 Na 2.42-2.48

=====

Record 6
VASP calculation (GGA-PBE) on a geometry-optimized AcNdTmCd structure.

Calculated values
- size of the total moment (μB/atom) = 0.00
- space group = F-43m (216)
- distance to the lowest polymorph of the same formula (meV/atom) = 95
- ΔH_f (0 K) (eV/atom) = -0.03

a = 5.6943 Å, b = 5.6943 Å, c = 5.6943 Å
α = 60.00°, β = 60.00°, γ = 60.00°
With the nearest neighbours (Å) after each atom.
Fractional coordinates of all 4 atoms:
Ac (0.2500, 0.2500, 0.2500)  4 Tm 3.49, 4 Cd 3.49
Tm (0.0000, 0.0000, 0.0000)  4 Ac 3.49, 4 Nd 3.49
Nd (0.7500, 0.7500, 0.7500)  4 Cd 3.49, 4 Tm 3.49
Cd (0.5000, 0.5000, 0.5000)  4 Ac 3.49, 4 Nd 3.49

=====

Record 7
VASP calculation (GGA-PBE) on a geometry-optimized Sb2AsBr structure.

Calculated values
- size of the total moment (μB/atom) = 0.00
- space group = Cmmm (65)
- distance to the lowest polymorph of the same formula (meV/atom) = 238

a = 3.4119 Å, b = 3.4119 Å, c = 9.5591 Å
α = 90.00°, β = 90.00°, γ = 114.58°
With the nearest neighbours (Å) after each atom.
Fractional coordinates of all 4 atoms:
Sb (0.0000, 0.0000, 0.0144)  2 As 2.91, 2 Br 3.13
Sb (0.0000, 0.0000, 0.4856)  2 As 2.91, 2 Br 3.13
As (0.5000, 0.5000, 0.2500)  4 Sb 2.91
Br (0.5000, 0.5000, 0.7500)  4 Sb 3.13, 4 Br 3.41

=====

Record 8
VASP calculation (GGA-PBE) on a geometry-optimized Li5YTl4 structure.

Calculated values
- size of the total moment (μB/atom) = 0.00
- space group = C2/m (12)
- ΔH_f (0 K) (eV/atom) = -0.24

a = 4.8239 Å, b = 6.5068 Å, c = 7.6054 Å
α = 104.01°, β = 108.49°, γ = 90.00°
With the nearest neighbours (Å) after each atom.
Fractional coordinates of all 10 atoms:
Li (0.2832, 0.1639, 0.5664)  7 Tl 2.94-3.29, 3 Li 3.17-3.20
Li (0.1040, 0.3620, 0.2081)  5 Tl 2.83-2.98, 3 Li 3.09-3.17
Li (0.8960, 0.6380, 0.7919)  5 Tl 2.83-2.98, 3 Li 3.09-3.17
Li (0.5000, 0.5000, 0.0000)  6 Li 3.09-3.33, 6 Tl 3.24-3.37, 2 Y 3.25
Li (0.7168, 0.8361, 0.4336)  7 Tl 2.94-3.29, 3 Li 3.17-3.20
Y (0.5000, 0.0000, 0.0000)  6 Tl 3.17-3.18, 6 Li 3.25-3.44
Tl (0.7027, 0.3332, 0.4055)  5 Li 2.83-3.00, 1 Y 3.17
Tl (0.0976, 0.8137, 0.1953)  5 Li 2.84-3.04
Tl (0.2973, 0.6668, 0.5945)  5 Li 2.83-3.00, 1 Y 3.17
Tl (0.9024, 0.1863, 0.8047)  5 Li 2.84-3.04

=====

Record 9
VASP calculation (GGA-PBE) on a geometry-optimized BeCu2Pb structure.

Calculated values
- size of the total moment (μB/atom) = 0.00
- space group = Cm (8)
- distance to the lowest polymorph of the same formula (meV/atom) = 3
- ΔH_f (0 K) (eV/atom) = 0.25

a = 3.9050 Å, b = 3.9050 Å, c = 5.4663 Å
α = 69.36°, β = 69.36°, γ = 60.06°
With the nearest neighbours (Å) after each atom.
Fractional coordinates of all 4 atoms:
Pb (0.5077, 0.5077, 0.4781)  1 Be 2.77, 7 Cu 2.93-3.05
Be (0.3227, 0.3227, 0.0325)  6 Cu 2.28-2.37
Cu (0.9655, 0.9655, 0.1036)  3 Be 2.28, 3 Cu 2.50
Cu (0.7040, 0.7040, 0.8858)  3 Be 2.37, 3 Cu 2.50

=====

Record 10
VASP calculation (GGA-PBE) on a geometry-optimized PuPaCo2As2 structure.

Calculated values
- size of the total moment (μB/atom) = 0.83
- space group = P-3m1 (164)
- ΔH_f (0 K) (eV/atom) = -0.78

a = 4.0146 Å, b = 4.0146 Å, c = 7.7955 Å
α = 90.00°, β = 90.00°, γ = 120.00°
With the nearest neighbours (Å) after each atom.
Fractional coordinates of all 6 atoms:
Pu (0.0000, 0.0000, 0.5000)  6 As 2.96, 6 Co 3.22
Pa (0.0000, 0.0000, 0.0000)  6 Co 2.85, 6 As 3.10
Co (0.6667, 0.3333, 0.2133)  3 As 2.35
Co (0.3333, 0.6667, 0.7867)  3 As 2.35
As (0.6667, 0.3333, 0.7358)  3 Co 2.35
As (0.3333, 0.6667, 0.2642)  3 Co 2.35